# 1
PBE AlZnTcPd, optimized geometry; total moment = 0.00 μB per formula unit; Fermi-level density of states = 1.00 states/eV/atom; raw total energy = -5.472 eV/atom
1.0
-1.930 0.653 3.807
-4.309 -0.069 0.277
-1.983 -3.270 2.005
Tc Al Zn Pd
1 1 1 1
Cartesian
-6.166 -2.014 4.567
-4.111 -1.343 3.044
0.000 0.000 0.000
-2.055 -0.671 1.522

---

# 2
PBE Zr2Al5Tc2Pd, optimized geometry; total moment = 0.00 μB per formula unit; Fermi-level density of states = 0.74 states/eV/atom; raw total energy = -6.528 eV/atom
1.0
3.287 0.000 0.000
0.000 10.206 0.000
0.000 0.000 10.206
Tc Al Zr Pd
4 10 4 2
Cartesian
0.000 3.792 1.311
0.000 1.311 6.414
0.000 8.895 3.792
0.000 6.414 8.895
1.644 4.649 3.092
1.644 7.114 4.649
1.644 2.011 0.454
1.644 3.092 5.557
1.644 9.753 2.011
1.644 5.103 0.000
1.644 0.454 8.196
1.644 0.000 5.103
1.644 5.557 7.114
1.644 8.196 9.753
0.000 8.269 7.041
0.000 3.166 8.269
0.000 7.041 1.937
0.000 1.937 3.166
0.000 5.103 5.103
0.000 0.000 0.000

---

# 3
PBE AlTe2Pd, optimized geometry; total moment = 0.00 μB per formula unit; Fermi-level density of states = 0.45 states/eV/atom; raw total energy = -4.234 eV/atom
1.0
7.970 -0.678 -0.915
1.401 3.799 0.108
1.586 1.479 3.421
Pd Al Te
1 1 2
Cartesian
8.645 1.187 0.353
8.625 3.313 1.842
3.906 4.938 3.238
6.219 2.064 1.102

---

What is the Fermi-level density of states in the second record? 0.74 states/eV/atom

---

The highest Fermi-level density of states belongs to which entry? AlZnTcPd